First-principles (PBE-GGA) data for a relaxed PrNd5Er3 crystal, as listed in the Alexandria database.

Lattice parameters (Å, degrees): 20.293 6.252 11.612 90.00 121.55 90.00
Space group C2/c (No. 15)
Symmetry-distinct sites (fractional):
Pr1 0.000 0.132 0.250 [4 per cell]
Nd1 0.000 0.387 0.750 [4 per cell]
Nd2 0.141 0.320 0.153 [8 per cell]
Nd3 0.180 0.190 0.838 [8 per cell]
Er1 0.000 0.000 0.000 [4 per cell]
Er2 0.178 0.222 0.532 [8 per cell]

Properties
As for the density of states at the Fermi level: 53.09 states/eV/cell. For the excess energy over the best structure of this formula in the dataset, the calculation gives 0 meV/atom. As for the total magnetic moment: 0.00 μB/cell. For the uncorrected energy, the calculation gives -4.416 eV/atom. The energy of formation is 0.285 eV/atom.